[1]
An optimized crystal structure of LiErPbSe3, computed with PBE-GGA.

a = 9.0350 Å, b = 9.0350 Å, c = 8.6726 Å
α = 103.56°, β = 103.56°, γ = 26.11°
Sites, in units of the cell vectors:
Se1 0.3324 0.3324 0.6424
Se2 0.6745 0.6745 0.8158
Pb1 0.1339 0.1339 0.0642
Er1 0.1651 0.1651 0.5864
Er2 0.8349 0.8349 0.4136
Se3 0.6676 0.6676 0.3576
Se4 0.0000 0.0000 0.5000
Se5 0.5000 0.5000 0.0000
Se6 0.3255 0.3255 0.1842
Li1 0.4962 0.4962 0.3022
Li2 0.5038 0.5038 0.6978
Pb2 0.8661 0.8661 0.9358

**Excess energy over the best structure of this formula in the dataset**: 0 meV/atom

***

[2]
An optimized crystal structure of CdHgGeTe3, computed with PBE-GGA.

a = 4.1682 Å, b = 7.3486 Å, c = 11.8999 Å
α = 90.00°, β = 90.00°, γ = 73.52°
Sites, in units of the cell vectors:
Te1 0.6451 0.7098 0.0661
Te2 0.1268 0.7465 0.7500
Te3 0.8732 0.2535 0.2500
Hg1 0.4824 0.0352 0.7500
Ge1 0.7783 0.4433 0.7500
Te4 0.3549 0.2902 0.9339
Ge2 0.2217 0.5567 0.2500
Cd1 0.0000 0.0000 0.5000
Te5 0.6451 0.7098 0.4339
Te6 0.3549 0.2902 0.5661
Hg2 0.5176 0.9648 0.2500
Cd2 0.0000 0.0000 0.0000

**Excess energy over the best structure of this formula in the dataset**: 0 meV/atom

***

[3]
An optimized crystal structure of PtSO4, computed with PBE-GGA.

a = 5.1802 Å, b = 7.6438 Å, c = 8.5234 Å
α = 84.86°, β = 90.00°, γ = 90.00°
Sites, in units of the cell vectors:
O1 0.8541 0.0890 0.8135
O2 0.2444 0.5569 0.7609
O3 0.5882 0.9056 0.2300
Pt1 0.8067 0.3268 0.3939
S1 0.1425 0.5686 0.5966
O4 0.0880 0.7482 0.0581
O5 0.7445 0.0972 0.5270
Pt2 0.3068 0.8270 0.3940
Pt3 0.8068 0.8270 0.8940
O6 0.5256 0.9056 0.7299
S2 0.6424 0.0854 0.6913
O7 0.6602 0.2315 0.1981
O8 0.7598 0.5650 0.9745
O9 0.2596 0.0890 0.3135
Pt4 0.3069 0.3268 0.8940
S3 0.4713 0.0854 0.1914
O10 0.4535 0.2314 0.6982
S4 0.9713 0.5686 0.0966
O11 0.1600 0.4227 0.0898
O12 0.3690 0.0972 0.0269
O13 0.3539 0.5650 0.4745
O14 0.0256 0.7481 0.5581
O15 0.8692 0.5569 0.2609
O16 0.9537 0.4226 0.5899

**Energy**: -5.77 eV per atom

***

[4]
An optimized crystal structure of UPdPt, computed with PBE-GGA.

a = 4.5697 Å, b = 4.5697 Å, c = 4.5697 Å
α = 60.00°, β = 60.00°, γ = 60.00°
Sites, in units of the cell vectors:
U1 0.7500 0.7500 0.7500
Pt1 0.0000 0.0000 0.0000
Pd1 0.2500 0.2500 0.2500

**ΔH_f (0 K)**: -0.24 eV/atom
**Excess energy over the best structure of this formula in the dataset**: 0 meV/atom

***

[5]
An optimized crystal structure of DyHfPd, computed with PBE-GGA.

a = 4.7032 Å, b = 4.7032 Å, c = 4.7032 Å
α = 60.00°, β = 60.00°, γ = 60.00°
Sites, in units of the cell vectors:
Hf1 0.7500 0.7500 0.7500
Dy1 0.2500 0.2500 0.2500
Pd1 0.0000 0.0000 0.0000

**ΔH_f (0 K)**: -0.18 eV/atom
**Excess energy over the best structure of this formula in the dataset**: 0 meV/atom

***

[6]
An optimized crystal structure of TmSnAuSe3, computed with PBE-GGA.

a = 7.8775 Å, b = 4.0343 Å, c = 10.0012 Å
α = 90.00°, β = 108.00°, γ = 90.00°
Sites, in units of the cell vectors:
Sn1 0.2719 0.2500 0.2961
Se1 0.5801 0.2500 0.8714
Se2 0.0537 0.2500 0.8270
Au1 0.8772 0.7500 0.4098
Tm1 0.6911 0.2500 0.1680
Tm2 0.3089 0.7500 0.8320
Se3 0.4199 0.7500 0.1286
Se4 0.3184 0.7500 0.5386
Au2 0.1228 0.2500 0.5902
Sn2 0.7281 0.7500 0.7039
Se5 0.6816 0.2500 0.4614
Se6 0.9463 0.7500 0.1730

**Excess energy over the best structure of this formula in the dataset**: 59 meV/atom

***

[7]
An optimized crystal structure of ZnTcNO, computed with PBE-GGA.

a = 3.3018 Å, b = 4.9763 Å, c = 5.6557 Å
α = 90.00°, β = 90.00°, γ = 90.00°
Sites, in units of the cell vectors:
N1 0.0000 0.5863 0.2753
O1 0.5000 0.6482 0.7507
Tc1 0.5000 0.0397 0.9058
Zn1 0.0000 0.9719 0.3829
Zn2 0.0000 0.4719 0.6171
Tc2 0.5000 0.5397 0.0942
N2 0.0000 0.0863 0.7247
O2 0.5000 0.1482 0.2493

**Excess energy over the best structure of this formula in the dataset**: 188 meV/atom

***

[8]
An optimized crystal structure of Tb2HoPdPt2Pb3, computed with PBE-GGA.

a = 3.9546 Å, b = 7.7658 Å, c = 7.7658 Å
α = 119.90°, β = 90.00°, γ = 90.00°
Sites, in units of the cell vectors:
Pb1 0.5000 0.0000 0.7389
Pd1 0.0000 0.9983 0.9983
Ho1 0.0000 0.5929 0.5929
Tb1 0.0000 0.4068 0.0000
Pt1 0.5000 0.3355 0.6663
Pb2 0.5000 0.2612 0.2612
Pb3 0.5000 0.7389 0.0000
Tb2 0.0000 0.0000 0.4068
Pt2 0.5000 0.6663 0.3355

**Energy**: -5.51 eV per atom

***

[9]
An optimized crystal structure of BeAlGeIr, computed with PBE-GGA.

a = 4.2495 Å, b = 4.2495 Å, c = 4.2495 Å
α = 60.00°, β = 60.00°, γ = 60.00°
Sites, in units of the cell vectors:
Ge1 0.2500 0.2500 0.2500
Ir1 0.0000 0.0000 0.0000
Al1 0.5000 0.5000 0.5000
Be1 0.7500 0.7500 0.7500

**Excess energy over the best structure of this formula in the dataset**: 41 meV/atom

***

[10]
An optimized crystal structure of GdDy2Fe7Ni2, computed with PBE-GGA.

a = 8.7134 Å, b = 8.7134 Å, c = 8.7134 Å
α = 33.47°, β = 33.47°, γ = 33.47°
Sites, in units of the cell vectors:
Fe1 0.4184 0.9167 0.4184
Fe2 0.5816 0.5816 0.0833
Dy1 0.1419 0.1419 0.1419
Ni1 0.6675 0.6675 0.6675
Fe3 0.5000 0.5000 0.5000
Fe4 0.5816 0.0833 0.5816
Fe5 0.9167 0.4184 0.4184
Fe6 0.0833 0.5816 0.5816
Gd1 0.0000 0.0000 0.0000
Fe7 0.4184 0.4184 0.9167
Dy2 0.8581 0.8581 0.8581
Ni2 0.3325 0.3325 0.3325

**ΔH_f (0 K)**: -0.12 eV/atom

***

[11]
An optimized crystal structure of Ag15Sn, computed with PBE-GGA.

a = 5.0132 Å, b = 34.0300 Å, c = 5.0116 Å
α = 90.00°, β = 109.14°, γ = 90.00°
Sites, in units of the cell vectors:
Ag1 0.0000 0.5215 0.2500
Ag2 0.0000 0.2172 0.7500
Ag3 0.5000 0.7830 0.7500
Ag4 0.5000 0.3920 0.2500
Ag5 0.0000 0.3489 0.2500
Ag6 0.5000 0.8253 0.2500
Ag7 0.5000 0.2619 0.7500
Ag8 0.5000 0.6080 0.7500
Ag9 0.5000 0.3482 0.7500
Ag10 0.0000 0.6079 0.2500
Sn1 0.0000 0.1728 0.2500
Ag11 0.0000 0.4785 0.7500
Ag12 0.0000 0.5648 0.7500
Ag13 0.0000 0.3053 0.7500
Ag14 0.5000 0.6518 0.2500
Ag15 0.5000 0.2170 0.2500
Ag16 0.0000 0.6511 0.7500
Ag17 0.5000 0.4786 0.2500
Ag18 0.0000 0.7828 0.2500
Ag19 0.5000 0.7381 0.2500
Ag20 0.5000 0.4347 0.7500
Ag21 0.5000 0.5214 0.7500
Ag22 0.0000 0.3921 0.7500
Ag23 0.5000 0.6949 0.7500
Ag24 0.0000 0.6947 0.2500
Ag25 0.0000 0.7378 0.7500
Sn2 0.0000 0.8272 0.7500
Ag26 0.0000 0.4352 0.2500
Ag27 0.5000 0.3051 0.2500
Ag28 0.0000 0.2622 0.2500
Ag29 0.5000 0.1747 0.7500
Ag30 0.5000 0.5653 0.2500

**Excess energy over the best structure of this formula in the dataset**: 17 meV/atom

***

[12]
An optimized crystal structure of Nd2Al3Hg3, computed with PBE-GGA.

a = 6.6418 Å, b = 4.7931 Å, c = 6.6498 Å
α = 90.00°, β = 119.23°, γ = 90.00°
Sites, in units of the cell vectors:
Hg1 0.8579 0.5000 0.1681
Nd1 0.3300 0.5000 0.6600
Al1 0.8557 0.5000 0.7070
Al2 0.1586 0.0000 0.2998
Hg2 0.6784 0.0000 0.8299
Al3 0.2963 0.5000 0.1523
Nd2 0.6617 0.0000 0.3346
Hg3 0.1615 0.0000 0.8483

**Excess energy over the best structure of this formula in the dataset**: 24 meV/atom

***

[13]
An optimized crystal structure of CdSn2Pt, computed with PBE-GGA.

a = 4.9911 Å, b = 4.9911 Å, c = 4.9911 Å
α = 60.00°, β = 60.00°, γ = 60.00°
Sites, in units of the cell vectors:
Sn1 0.2500 0.2500 0.2500
Sn2 0.0000 0.0000 0.0000
Pt1 0.7500 0.7500 0.7500
Cd1 0.5000 0.5000 0.5000

**Energy**: -3.69 eV per atom

***

[14]
An optimized crystal structure of HoGaNiPt, computed with PBE-GGA.

a = 4.2805 Å, b = 4.2805 Å, c = 8.9273 Å
α = 90.00°, β = 90.00°, γ = 120.00°
Sites, in units of the cell vectors:
Ni1 0.3333 0.6667 0.8307
Ho1 0.3333 0.6667 0.5000
Pt1 0.6667 0.3333 0.6779
Ni2 0.3333 0.6667 0.1693
Ga1 0.0000 0.0000 0.7586
Ho2 0.6667 0.3333 0.0000
Ga2 0.0000 0.0000 0.2414
Pt2 0.6667 0.3333 0.3221

**Excess energy over the best structure of this formula in the dataset**: 7 meV/atom

***

[15]
An optimized crystal structure of Mg4Co3, computed with PBE-GGA.

a = 7.3918 Å, b = 7.3912 Å, c = 4.4484 Å
α = 90.00°, β = 90.00°, γ = 59.98°
Sites, in units of the cell vectors:
Mg1 0.4285 0.8573 0.0000
Mg2 0.7922 0.9353 0.5000
Mg3 0.0953 0.5237 0.5000
Co1 0.3729 0.0750 0.5000
Co2 0.2573 0.5795 0.0000
Mg4 0.5369 0.1602 0.0000
Mg5 0.9868 0.2208 0.5000
Co3 0.1509 0.3059 0.0000
Co4 0.8775 0.6859 0.0000
Mg6 0.0171 0.9657 0.0000
Co5 0.6463 0.6951 0.5000
Mg7 0.7316 0.4457 0.0000
Mg8 0.5067 0.4152 0.5000
Co6 0.2666 0.8014 0.5000

**Energy**: -3.73 eV per atom

***

[16]
An optimized crystal structure of AcLuRe, computed with PBE-GGA.

a = 4.9717 Å, b = 4.9717 Å, c = 4.9717 Å
α = 60.00°, β = 60.00°, γ = 60.00°
Sites, in units of the cell vectors:
Ac1 0.0000 0.0000 0.0000
Re1 0.7500 0.7500 0.7500
Lu1 0.2500 0.2500 0.2500

**ΔH_f (0 K)**: 1.50 eV/atom
**Excess energy over the best structure of this formula in the dataset**: 1106 meV/atom

***

[17]
An optimized crystal structure of SmThGe, computed with PBE-GGA.

a = 4.9545 Å, b = 4.9545 Å, c = 4.9545 Å
α = 60.00°, β = 60.00°, γ = 60.00°
Sites, in units of the cell vectors:
Th1 0.7500 0.7500 0.7500
Sm1 0.0000 0.0000 0.0000
Ge1 0.2500 0.2500 0.2500

**Excess energy over the best structure of this formula in the dataset**: 0 meV/atom

***

[18]
An optimized crystal structure of ScHgAs, computed with PBE-GGA.

a = 4.6732 Å, b = 4.6732 Å, c = 4.6732 Å
α = 60.00°, β = 60.00°, γ = 60.00°
Sites, in units of the cell vectors:
Hg1 0.7500 0.7500 0.7500
As1 0.2500 0.2500 0.2500
Sc1 0.0000 0.0000 0.0000

**Excess energy over the best structure of this formula in the dataset**: 0 meV/atom

***

[19]
An optimized crystal structure of LaGa3Cu, computed with PBE-GGA.

a = 6.0385 Å, b = 6.0380 Å, c = 4.3067 Å
α = 69.11°, β = 69.10°, γ = 41.78°
Sites, in units of the cell vectors:
Ga1 0.7639 0.7639 0.7361
La1 0.0139 0.0139 0.9861
Cu1 0.3794 0.3794 0.6206
Ga2 0.2639 0.2639 0.2361
Ga3 0.6099 0.6099 0.3901

**Energy**: -4.10 eV per atom

***

[20]
An optimized crystal structure of TaH3, computed with PBE-GGA.

a = 5.6944 Å, b = 5.6944 Å, c = 6.5428 Å
α = 106.68°, β = 106.68°, γ = 48.48°
Sites, in units of the cell vectors:
H1 0.5734 0.0778 0.4320
H2 0.0778 0.5734 0.9320
Ta1 0.8106 0.8622 0.1693
H3 0.5242 0.6954 0.8042
H4 0.9296 0.4151 0.6052
H5 0.8882 0.1106 0.1028
Ta2 0.5000 0.5000 0.0000
H6 0.3046 0.4758 0.6958
H7 0.4266 0.9222 0.5680
H8 0.2447 0.7553 0.2500
H9 0.0704 0.5849 0.3948
Ta3 0.8622 0.8106 0.6693
Ta4 0.1894 0.1378 0.8307
H10 0.4758 0.3046 0.1958
H11 0.1118 0.8894 0.8972
H12 0.5849 0.0704 0.8948
Ta5 0.5000 0.5000 0.5000
H13 0.4151 0.9296 0.1052
H14 0.1106 0.8882 0.6028
H15 0.7553 0.2447 0.7500
Ta6 0.1378 0.1894 0.3307
H16 0.6954 0.5242 0.3042
H17 0.9222 0.4266 0.0680
H18 0.8894 0.1118 0.3972

**Energy**: -5.43 eV per atom

***

[21]
An optimized crystal structure of Ho4I5N, computed with PBE-GGA.

a = 9.6857 Å, b = 9.6857 Å, c = 8.5108 Å
α = 102.34°, β = 102.34°, γ = 23.19°
Sites, in units of the cell vectors:
I1 0.5000 0.5000 0.5000
I2 0.8345 0.8345 0.1787
I3 0.1655 0.1655 0.8213
Ho1 0.9994 0.9994 0.1871
Ho2 0.6246 0.6246 0.0614
N1 0.5000 0.5000 0.0000
I4 0.1621 0.1621 0.3391
Ho3 0.0006 0.0006 0.8129
I5 0.8379 0.8379 0.6609
Ho4 0.3754 0.3754 0.9386

**Energy**: -4.67 eV per atom

***

[22]
An optimized crystal structure of Cs2InAgCl6, computed with PBE-GGA.

a = 7.2435 Å, b = 7.2435 Å, c = 14.0961 Å
α = 90.00°, β = 90.00°, γ = 120.00°
Sites, in units of the cell vectors:
Cs1 0.6667 0.3333 0.9227
In1 0.6667 0.3333 0.2500
Cl1 0.1951 0.8434 0.8677
Cl2 0.8434 0.6483 0.1323
Cl3 0.1951 0.3517 0.6323
Cs2 0.3333 0.6667 0.4227
Cs3 0.6667 0.3333 0.5773
Cl4 0.8049 0.6483 0.3677
In2 0.3333 0.6667 0.7500
Cl5 0.8434 0.1951 0.3677
Cl6 0.6483 0.8434 0.6323
Cl7 0.3517 0.1951 0.1323
Cs4 0.3333 0.6667 0.0773
Cl8 0.1566 0.8049 0.6323
Cl9 0.8049 0.1566 0.1323
Cl10 0.3517 0.1566 0.3677
Ag1 0.0000 0.0000 0.2500
Cl11 0.1566 0.3517 0.8677
Ag2 0.0000 0.0000 0.7500
Cl12 0.6483 0.8049 0.8677

**Excess energy over the best structure of this formula in the dataset**: 66 meV/atom